Here is Ba3NiF12 after structural relaxation from Alexandria via LeMat-Bulk. Energies are from PBE with a Hubbard U.

a b c (Å): 7.203 7.203 6.853
angles (deg): 93.63 93.63 118.95
Atoms (fractional coordinates):
Ba: 0.000 0.000 0.000
Ba: 0.000 0.500 0.500
Ba: 0.500 0.000 0.500
Ni: 0.500 0.500 0.500
F: 0.026 0.598 0.080
F: 0.111 0.852 0.299
F: 0.148 0.889 0.701
F: 0.344 0.573 0.313
F: 0.402 0.974 0.920
F: 0.427 0.656 0.687
F: 0.573 0.344 0.313
F: 0.598 0.026 0.080
F: 0.656 0.427 0.687
F: 0.852 0.111 0.299
F: 0.889 0.148 0.701
F: 0.974 0.402 0.920

Results
**Energy above the lowest structure with this stoichiometry**: 0.00 eV/f.u.